1.
An optimized crystal structure of Pr12YHo7, computed with PBE-GGA.

a = 11.5838 Å, b = 11.5838 Å, c = 11.5838 Å
α = 116.80°, β = 116.80°, γ = 116.80°
With the nearest neighbours (Å) after each atom.
Atoms (fractional coordinates):
1 Pr 0.0004 0.4118 0.5882  2 Ho 3.40, 5 Pr 3.40-3.80
2 Pr 0.9996 0.5882 0.4118  2 Ho 3.40, 5 Pr 3.40-3.80
3 Pr 0.0836 0.0842 0.4362  4 Ho 3.34-3.61, 1 Pr 3.39
4 Pr 0.0842 0.4362 0.0836  4 Ho 3.34-3.61, 1 Pr 3.39
5 Pr 0.4118 0.9996 0.5882  2 Ho 3.40, 5 Pr 3.40-3.80
6 Pr 0.4118 0.5882 0.0004  2 Ho 3.40, 5 Pr 3.40-3.80
7 Pr 0.4362 0.0836 0.0842  4 Ho 3.34-3.61, 1 Pr 3.39
8 Pr 0.5638 0.9164 0.9158  4 Ho 3.34-3.61, 1 Pr 3.39
9 Pr 0.5882 0.0004 0.4118  2 Ho 3.40, 5 Pr 3.40-3.80
10 Pr 0.5882 0.4118 0.9996  2 Ho 3.40, 5 Pr 3.40-3.80
11 Pr 0.9158 0.5638 0.9164  4 Ho 3.34-3.61, 1 Pr 3.39
12 Pr 0.9164 0.9158 0.5638  4 Ho 3.34-3.61, 1 Pr 3.39
13 Y 0.5000 0.5000 0.5000  8 Ho 3.07-3.14
14 Ho 0.0000 0.0000 0.0000  2 Y 3.14, 6 Ho 3.34
15 Ho 0.1306 0.3757 0.3749  1 Y 3.07, 1 Ho 3.34, 4 Pr 3.34-3.40
16 Ho 0.3749 0.1306 0.3757  1 Y 3.07, 1 Ho 3.34, 4 Pr 3.34-3.40
17 Ho 0.3757 0.3749 0.1306  1 Y 3.07, 1 Ho 3.34, 4 Pr 3.34-3.40
18 Ho 0.6243 0.6251 0.8694  1 Y 3.07, 1 Ho 3.34, 4 Pr 3.34-3.40
19 Ho 0.6251 0.8694 0.6243  1 Y 3.07, 1 Ho 3.34, 4 Pr 3.34-3.40
20 Ho 0.8694 0.6243 0.6251  1 Y 3.07, 1 Ho 3.34, 4 Pr 3.34-3.40

Computed properties:
final energy	-91.3	eV for the cell shown
magnetization	0.00	μB/atom


2.
An optimized crystal structure of TlCd2Ge2, computed with PBE-GGA.

a = 8.9936 Å, b = 8.9936 Å, c = 2.9509 Å
α = 90.00°, β = 90.00°, γ = 90.00°
With the nearest neighbours (Å) after each atom.
Atoms (fractional coordinates):
1 Tl 0.0000 0.0000 0.0000  2 Tl 2.95
2 Tl 0.5000 0.5000 0.0000  2 Tl 2.95
3 Cd 0.1474 0.3526 0.0000  2 Cd 2.95, 6 Ge 2.98-3.05
4 Cd 0.3526 0.8526 0.0000  2 Cd 2.95, 6 Ge 2.98-3.05
5 Cd 0.6474 0.1474 0.0000  2 Cd 2.95, 6 Ge 2.98-3.05
6 Cd 0.8526 0.6474 0.0000  2 Cd 2.95, 6 Ge 2.98-3.05
7 Ge 0.1489 0.6489 0.5000  2 Ge 2.95, 6 Cd 2.98-3.05
8 Ge 0.3511 0.1489 0.5000  2 Ge 2.95, 6 Cd 2.98-3.05
9 Ge 0.6489 0.8511 0.5000  2 Ge 2.95, 6 Cd 2.98-3.05
10 Ge 0.8511 0.3511 0.5000  2 Ge 2.95, 6 Cd 2.98-3.05

Computed properties:
final energy	-25.1	eV for the cell shown
magnetization	0.00	μB/atom


3.
An optimized crystal structure of K2RbMnH6, computed with PBE-GGA.

a = 6.0328 Å, b = 8.5333 Å, c = 6.0166 Å
α = 90.00°, β = 90.00°, γ = 90.00°
With the nearest neighbours (Å) after each atom.
Atoms (fractional coordinates):
1 K 0.2500 0.0010 0.2496  12 H 3.03-3.08
2 K 0.2500 0.4990 0.2496  12 H 3.03-3.08
3 K 0.7500 0.5010 0.7504  12 H 3.03-3.08
4 K 0.7500 0.9990 0.7504  12 H 3.03-3.08
5 Rb 0.2500 0.2500 0.7494  6 H 2.60-2.61
6 Rb 0.7500 0.7500 0.2506  6 H 2.60-2.61
7 Mn 0.2500 0.7500 0.7505  6 H 1.66
8 Mn 0.7500 0.2500 0.2495  6 H 1.66
9 H 0.0519 0.7500 0.5589  1 Mn 1.66
10 H 0.0519 0.7500 0.9422  1 Mn 1.66
11 H 0.2500 0.5554 0.7507  1 Mn 1.66
12 H 0.2500 0.9446 0.7507  1 Mn 1.66
13 H 0.4481 0.7500 0.5589  1 Mn 1.66
14 H 0.4481 0.7500 0.9422  1 Mn 1.66
15 H 0.5519 0.2500 0.0578  1 Mn 1.66
16 H 0.5519 0.2500 0.4411  1 Mn 1.66
17 H 0.7500 0.0554 0.2493  1 Mn 1.66
18 H 0.7500 0.4446 0.2493  1 Mn 1.66
19 H 0.9481 0.2500 0.0578  1 Mn 1.66
20 H 0.9481 0.2500 0.4411  1 Mn 1.66

Computed properties:
final energy	-67.2	eV for the cell shown
magnetization	0.20	μB/atom


4.
An optimized crystal structure of Cr2OsICl, computed with PBE-GGA.

a = 5.0420 Å, b = 5.0420 Å, c = 4.5832 Å
α = 90.00°, β = 90.00°, γ = 90.00°
With the nearest neighbours (Å) after each atom.
Atoms (fractional coordinates):
1 Cr 0.0000 0.5000 0.0000  2 Os 2.52
2 Cr 0.5000 0.0000 0.0000  2 Os 2.52
3 Os 0.0000 0.0000 0.0000  2 Cl 2.29, 4 Cr 2.52
4 I 0.5000 0.5000 0.5000  8 Cr 3.41, 4 Cl 3.57
5 Cl 0.0000 0.0000 0.5000  2 Os 2.29

Computed properties:
energy relative to the elements, uncorrected	19.7	kcal/mol of atoms
magnetization	1.54	μB/atom


5.
An optimized crystal structure of YAsBr, computed with PBE-GGA.

a = 7.5404 Å, b = 7.5335 Å, c = 3.4539 Å
α = 76.87°, β = 76.64°, γ = 26.49°
With the nearest neighbours (Å) after each atom.
Atoms (fractional coordinates):
1 Y 0.0000 0.0000 0.0000  4 As 3.02-3.04, 4 Br 3.06-3.08
2 As 0.3740 0.3740 0.6260  4 Y 3.02-3.04
3 Br 0.6305 0.6305 0.3695  4 Y 3.06-3.08

Computed properties:
energy relative to the elements, uncorrected	-21.7	kcal/mol of atoms
magnetization	0.00	μB/atom


6.
An optimized crystal structure of CaGdCdPd, computed with PBE-GGA.

a = 5.1708 Å, b = 5.1708 Å, c = 5.1708 Å
α = 60.00°, β = 60.00°, γ = 60.00°
With the nearest neighbours (Å) after each atom.
Atoms (fractional coordinates):
1 Ca 0.0000 0.0000 0.0000  4 Pd 3.17, 4 Cd 3.17
2 Gd 0.5000 0.5000 0.5000  4 Pd 3.17, 4 Cd 3.17
3 Cd 0.2500 0.2500 0.2500  4 Gd 3.17, 4 Ca 3.17
4 Pd 0.7500 0.7500 0.7500  4 Gd 3.17, 4 Ca 3.17

Computed properties:
final energy	-24.2	eV for the cell shown
magnetization	1.82	μB/atom


7.
An optimized crystal structure of MnZn12Cu3, computed with PBE-GGA.

a = 3.8088 Å, b = 3.8088 Å, c = 15.3099 Å
α = 90.00°, β = 90.00°, γ = 90.00°
With the nearest neighbours (Å) after each atom.
Atoms (fractional coordinates):
1 Mn 0.0000 0.0000 0.0000  12 Zn 2.69-2.71
2 Zn 0.0000 0.5000 0.1259  2 Cu 2.69, 8 Zn 2.69-2.71, 2 Mn 2.71
3 Zn 0.0000 0.5000 0.3747  8 Zn 2.68-2.70, 4 Cu 2.70
4 Zn 0.0000 0.5000 0.6253  8 Zn 2.68-2.70, 4 Cu 2.70
5 Zn 0.0000 0.5000 0.8741  2 Cu 2.69, 8 Zn 2.69-2.71, 2 Mn 2.71
6 Zn 0.5000 0.0000 0.1259  2 Cu 2.69, 8 Zn 2.69-2.71, 2 Mn 2.71
7 Zn 0.5000 0.0000 0.3747  8 Zn 2.68-2.70, 4 Cu 2.70
8 Zn 0.5000 0.0000 0.6253  8 Zn 2.68-2.70, 4 Cu 2.70
9 Zn 0.5000 0.0000 0.8741  2 Cu 2.69, 8 Zn 2.69-2.71, 2 Mn 2.71
10 Zn 0.5000 0.5000 0.0000  4 Mn 2.69, 8 Zn 2.71
11 Zn 0.5000 0.5000 0.2511  8 Zn 2.68-2.70, 4 Cu 2.69
12 Zn 0.5000 0.5000 0.5000  4 Cu 2.69, 8 Zn 2.70
13 Zn 0.5000 0.5000 0.7489  8 Zn 2.68-2.70, 4 Cu 2.69
14 Cu 0.0000 0.0000 0.2497  12 Zn 2.69-2.70
15 Cu 0.0000 0.0000 0.5000  12 Zn 2.69-2.70
16 Cu 0.0000 0.0000 0.7503  12 Zn 2.69-2.70

Computed properties:
final energy	-37.1	eV for the cell shown
magnetization	0.17	μB/atom


8.
An optimized crystal structure of BeSiAs2Se, computed with PBE-GGA.

a = 4.5078 Å, b = 4.5078 Å, c = 4.4813 Å
α = 90.00°, β = 90.00°, γ = 90.00°
With the nearest neighbours (Å) after each atom.
Atoms (fractional coordinates):
1 Be 0.0000 0.0000 0.0000  2 Si 2.24, 4 As 2.25
2 Si 0.0000 0.0000 0.5000  2 Be 2.24
3 As 0.0000 0.5000 0.0000  2 Be 2.25
4 As 0.5000 0.0000 0.0000  2 Be 2.25
5 Se 0.5000 0.5000 0.5000  8 As 3.18, 4 Si 3.19

Computed properties:
energy relative to the elements, uncorrected	13.6	kcal/mol of atoms
magnetization	0.00	μB/atom